1.
Material: Cu2SiPb
Method: DFT, PBE
State: relaxed

a b c (Å): 2.9779 3.9242 6.3477
angles (deg): 90.00 100.69 90.00
With the nearest neighbours (Å) after each atom.
Space group P2/m (No. 10)
Unique sites:
1 Cu 0.1988 0.0000 0.3284 [2 per cell]  2 Si 2.37, 1 Cu 2.55
2 Si 0.0000 0.5000 0.5000 [1 per cell]  4 Cu 2.37
3 Pb 0.5000 0.5000 0.0000 [1 per cell]  2 Pb 2.98, 8 Cu 3.11-3.30, 2 Si 3.25

Summary:
Distance to the lowest polymorph of the same formula, kJ per mole of atoms: 20.7
Magnetic moment, μB/f.u.: 0.000
Fermi-level density of states, states/eV per cell: 0.98
Formation energy (no corrections), eV/atom: 0.31

2.
Material: CuSiPb2
Method: DFT, PBE
State: relaxed

a b c (Å): 7.2028 7.2028 7.2028
angles (deg): 90.00 90.00 90.00
With the nearest neighbours (Å) after each atom.
Space group F-43m (No. 216)
Unique sites:
1 Cu 0.0000 0.0000 0.0000 [4 per cell]  4 Pb 3.12, 4 Si 3.12
2 Si 0.2500 0.2500 0.2500 [4 per cell]  4 Pb 3.12, 4 Cu 3.12
3 Pb 0.0000 0.0000 0.5000 [4 per cell]  4 Si 3.12, 4 Pb 3.12
4 Pb 0.2500 0.2500 0.7500 [4 per cell]  4 Pb 3.12, 4 Cu 3.12

Summary:
Magnetic moment, μB/f.u.: 0.000
Fermi-level density of states, states/eV per cell: 5.87
Formation energy (no corrections), eV/atom: 0.57

3.
Material: Cu2SiPb2
Method: DFT, PBE
State: relaxed

a b c (Å): 3.5022 3.5022 17.3021
angles (deg): 90.00 90.00 90.00
With the nearest neighbours (Å) after each atom.
Space group I4/mmm (No. 139)
Unique sites:
1 Cu 0.0000 0.5000 0.2500 [4 per cell]  4 Cu 2.48
2 Si 0.0000 0.0000 0.0000 [2 per cell]  8 Pb 3.13, 4 Si 3.50
3 Pb 0.0000 0.0000 0.3891 [4 per cell]  4 Cu 2.98, 4 Si 3.13

Summary:
Distance to the lowest polymorph of the same formula, kJ per mole of atoms: 9.8
Magnetic moment, μB/f.u.: 0.000
Fermi-level density of states, states/eV per cell: 4.01
Formation energy (no corrections), eV/atom: 0.39

- Look up the Fermi-level density of states of the first one.
  0.98 states/eV per cell